[1]
# Pm7Dy2Y3 | the Alexandria database | PBE | optimized geometry
# Energy of formation, eV/f.u.: 3.292
# Space group: No. 166
# Magnetization, μB/f.u.: 0.00
data_Pm7Dy2Y3
_symmetry_space_group_name_H-M 'P 1'
_symmetry_Int_Tables_number 1
_symmetry_space_group_name_Hall 'P 1'
_cell_length_a 11.7857
_cell_length_b 11.7857
_cell_length_c 11.7857
_cell_angle_alpha 32.58
_cell_angle_beta 32.58
_cell_angle_gamma 32.58
loop_
_atom_site_label
_atom_site_type_symbol
_atom_site_fract_x
_atom_site_fract_y
_atom_site_fract_z
Pm1 Pm 0.0000 0.0000 0.0000
Pm2 Pm 0.0884 0.0884 0.5772
Pm3 Pm 0.0884 0.5772 0.0884
Pm4 Pm 0.4228 0.9116 0.9116
Pm5 Pm 0.5772 0.0884 0.0884
Pm6 Pm 0.9116 0.4228 0.9116
Pm7 Pm 0.9116 0.9116 0.4228
Dy1 Dy 0.1655 0.1655 0.1655
Dy2 Dy 0.8345 0.8345 0.8345
Y1 Y 0.3492 0.3492 0.3492
Y2 Y 0.5000 0.5000 0.5000
Y3 Y 0.6508 0.6508 0.6508



[2]
# Sr2SnSe3 | the Alexandria database | PBE | optimized geometry
# Space group: No. 71
# Uncorrected energy, eV/atom: -4.48
# Magnetization, μB/f.u.: 0.00
data_Sr2SnSe3
_symmetry_space_group_name_H-M 'P 1'
_symmetry_Int_Tables_number 1
_symmetry_space_group_name_Hall 'P 1'
_cell_length_a 7.6490
_cell_length_b 7.6490
_cell_length_c 7.6490
_cell_angle_alpha 146.47
_cell_angle_beta 132.08
_cell_angle_gamma 59.75
loop_
_atom_site_label
_atom_site_type_symbol
_atom_site_fract_x
_atom_site_fract_y
_atom_site_fract_z
Sr1 Sr 0.1657 0.1657 0.0000
Sr2 Sr 0.8343 0.8343 0.0000
Sn1 Sn 0.5000 0.5000 0.0000
Se1 Se 0.0000 0.5000 0.5000
Se2 Se 0.3360 0.8360 0.5000
Se3 Se 0.6640 0.1640 0.5000



[3]
# Li2SbPd6 | the Alexandria database | PBE | optimized geometry
# Space group: No. 164
# Uncorrected energy, eV/atom: -4.75
# Magnetization, μB/f.u.: 0.00
data_Li2SbPd6
_symmetry_space_group_name_H-M 'P 1'
_symmetry_Int_Tables_number 1
_symmetry_space_group_name_Hall 'P 1'
_cell_length_a 4.4526
_cell_length_b 4.4526
_cell_length_c 8.0372
_cell_angle_alpha 90.00
_cell_angle_beta 90.00
_cell_angle_gamma 120.00
loop_
_atom_site_label
_atom_site_type_symbol
_atom_site_fract_x
_atom_site_fract_y
_atom_site_fract_z
Li1 Li 0.3333 0.6667 0.2334
Li2 Li 0.6667 0.3333 0.7666
Sb1 Sb 0.0000 0.0000 0.0000
Pd1 Pd 0.0000 0.0000 0.3272
Pd2 Pd 0.0000 0.0000 0.6728
Pd3 Pd 0.3333 0.6667 0.5420
Pd4 Pd 0.3333 0.6667 0.8940
Pd5 Pd 0.6667 0.3333 0.1060
Pd6 Pd 0.6667 0.3333 0.4580



[4]
# Pm2SmErTe6 | the Alexandria database | PBE | optimized geometry
# Space group: No. 146
# Uncorrected energy, eV/atom: -5.13
# Magnetization, μB/f.u.: 0.00
data_Pm2SmErTe6
_symmetry_space_group_name_H-M 'P 1'
_symmetry_Int_Tables_number 1
_symmetry_space_group_name_Hall 'P 1'
_cell_length_a 8.4177
_cell_length_b 8.4177
_cell_length_c 8.4177
_cell_angle_alpha 55.42
_cell_angle_beta 55.42
_cell_angle_gamma 55.42
loop_
_atom_site_label
_atom_site_type_symbol
_atom_site_fract_x
_atom_site_fract_y
_atom_site_fract_z
Pm1 Pm 0.0000 0.0000 0.0000
Pm2 Pm 0.4990 0.4990 0.4990
Sm1 Sm 0.1891 0.1891 0.1891
Er1 Er 0.6878 0.6878 0.6878
Te1 Te 0.0821 0.4162 0.7881
Te2 Te 0.2937 0.9078 0.5900
Te3 Te 0.4162 0.7881 0.0821
Te4 Te 0.5900 0.2937 0.9078
Te5 Te 0.7881 0.0821 0.4162
Te6 Te 0.9078 0.5900 0.2937



[5]
# BeAgGe3 | the Alexandria database | PBE | optimized geometry
# Energy of formation, eV/f.u.: 2.407
# Space group: No. 221
# Magnetization, μB/f.u.: 0.00
data_BeAgGe3
_symmetry_space_group_name_H-M 'P 1'
_symmetry_Int_Tables_number 1
_symmetry_space_group_name_Hall 'P 1'
_cell_length_a 4.5367
_cell_length_b 4.5367
_cell_length_c 4.5367
_cell_angle_alpha 90.00
_cell_angle_beta 90.00
_cell_angle_gamma 90.00
loop_
_atom_site_label
_atom_site_type_symbol
_atom_site_fract_x
_atom_site_fract_y
_atom_site_fract_z
Be1 Be 0.0000 0.0000 0.0000
Ag1 Ag 0.5000 0.5000 0.5000
Ge1 Ge 0.0000 0.0000 0.5000
Ge2 Ge 0.0000 0.5000 0.0000
Ge3 Ge 0.5000 0.0000 0.0000



[6]
# SrHoTlAu | the Alexandria database | PBE | optimized geometry
# Energy of formation, eV/f.u.: -1.946
# Space group: No. 216
# Magnetization, μB/f.u.: 0.00
data_SrHoTlAu
_symmetry_space_group_name_H-M 'P 1'
_symmetry_Int_Tables_number 1
_symmetry_space_group_name_Hall 'P 1'
_cell_length_a 5.3921
_cell_length_b 5.3921
_cell_length_c 5.3921
_cell_angle_alpha 60.00
_cell_angle_beta 60.00
_cell_angle_gamma 60.00
loop_
_atom_site_label
_atom_site_type_symbol
_atom_site_fract_x
_atom_site_fract_y
_atom_site_fract_z
Sr1 Sr 0.0000 0.0000 0.0000
Ho1 Ho 0.5000 0.5000 0.5000
Tl1 Tl 0.7500 0.7500 0.7500
Au1 Au 0.2500 0.2500 0.2500



Copy entry 1 word for word.
# Pm7Dy2Y3 | the Alexandria database | PBE | optimized geometry
# Energy of formation, eV/f.u.: 3.292
# Space group: No. 166
# Magnetization, μB/f.u.: 0.00
data_Pm7Dy2Y3
_symmetry_space_group_name_H-M 'P 1'
_symmetry_Int_Tables_number 1
_symmetry_space_group_name_Hall 'P 1'
_cell_length_a 11.7857
_cell_length_b 11.7857
_cell_length_c 11.7857
_cell_angle_alpha 32.58
_cell_angle_beta 32.58
_cell_angle_gamma 32.58
loop_
_atom_site_label
_atom_site_type_symbol
_atom_site_fract_x
_atom_site_fract_y
_atom_site_fract_z
Pm1 Pm 0.0000 0.0000 0.0000
Pm2 Pm 0.0884 0.0884 0.5772
Pm3 Pm 0.0884 0.5772 0.0884
Pm4 Pm 0.4228 0.9116 0.9116
Pm5 Pm 0.5772 0.0884 0.0884
Pm6 Pm 0.9116 0.4228 0.9116
Pm7 Pm 0.9116 0.9116 0.4228
Dy1 Dy 0.1655 0.1655 0.1655
Dy2 Dy 0.8345 0.8345 0.8345
Y1 Y 0.3492 0.3492 0.3492
Y2 Y 0.5000 0.5000 0.5000
Y3 Y 0.6508 0.6508 0.6508